[1]
Below is crystalline Ho8Er4Tm3 at its relaxed geometry, with properties calculated at the GGA-PBE level.

a b c (Å): 12.2505 12.2505 12.2505
angles (deg): 32.38 32.38 32.38
Closest atoms and distances in Å follow each position.
Sites, in units of the cell vectors:
1 Ho 0.2447 0.2447 0.2447  1 Er 3.19, 3 Tm 3.36, 6 Ho 3.42
2 Ho 0.2477 0.7503 0.7503  6 Ho 3.40-3.43, 3 Er 3.45-3.52, 2 Tm 3.49
3 Ho 0.2497 0.2497 0.7523  6 Ho 3.40-3.43, 3 Er 3.45-3.52, 2 Tm 3.49
4 Ho 0.2497 0.7523 0.2497  6 Ho 3.40-3.43, 3 Er 3.45-3.52, 2 Tm 3.49
5 Ho 0.7503 0.2477 0.7503  6 Ho 3.40-3.43, 3 Er 3.45-3.52, 2 Tm 3.49
6 Ho 0.7503 0.7503 0.2477  6 Ho 3.40-3.43, 3 Er 3.45-3.52, 2 Tm 3.49
7 Ho 0.7523 0.2497 0.2497  6 Ho 3.40-3.43, 3 Er 3.45-3.52, 2 Tm 3.49
8 Ho 0.7553 0.7553 0.7553  1 Er 3.19, 3 Tm 3.36, 6 Ho 3.42
9 Er 0.0000 0.0000 0.0000  6 Ho 3.52
10 Er 0.3362 0.3362 0.3362  4 Ho 3.19-3.45
11 Er 0.5000 0.5000 0.5000  6 Tm 3.42, 6 Ho 3.50
12 Er 0.6638 0.6638 0.6638  4 Ho 3.19-3.45
13 Tm 0.0000 0.0000 0.5000  6 Ho 3.36-3.49, 2 Er 3.42, 4 Tm 3.42
14 Tm 0.0000 0.5000 0.0000  6 Ho 3.36-3.49, 4 Tm 3.42, 2 Er 3.42
15 Tm 0.5000 0.0000 0.0000  6 Ho 3.36-3.49, 4 Tm 3.42, 2 Er 3.42

Its formation energy is 2.3 eV per formula unit. The calculation puts the distance to the lowest polymorph of the same formula at 0.000 eV/atom.


[2]
Below is crystalline ScPaCoRh at its relaxed geometry, with properties calculated at the GGA-PBE level.

a b c (Å): 4.6810 4.6810 4.6810
angles (deg): 60.00 60.00 60.00
Closest atoms and distances in Å follow each position.
Sites, in units of the cell vectors:
1 Sc 0.0000 0.0000 0.0000  4 Rh 2.87, 4 Co 2.87
2 Pa 0.5000 0.5000 0.5000  4 Rh 2.87, 4 Co 2.87
3 Co 0.2500 0.2500 0.2500  4 Pa 2.87, 4 Sc 2.87
4 Rh 0.7500 0.7500 0.7500  4 Pa 2.87, 4 Sc 2.87

Its formation energy is -1.8 eV per formula unit.


[3]
Below is crystalline NpAl2I8 at its relaxed geometry, with properties calculated at the GGA-PBE level.

a b c (Å): 8.9890 8.9890 7.3038
angles (deg): 96.68 96.68 76.03
Closest atoms and distances in Å follow each position.
Sites, in units of the cell vectors:
1 Np 0.0000 0.0000 0.0000  6 I 3.20
2 Al 0.1989 0.1989 0.6561  4 I 2.52-2.64
3 Al 0.8011 0.8011 0.3439  4 I 2.52-2.64
4 I 0.0811 0.7110 0.2415  1 Al 2.62
5 I 0.1917 0.1917 0.2925  1 Al 2.64
6 I 0.2890 0.9189 0.7585  1 Al 2.62
7 I 0.3721 0.3721 0.8016  1 Al 2.52
8 I 0.6279 0.6279 0.1984  1 Al 2.52
9 I 0.7110 0.0811 0.2415  1 Al 2.62
10 I 0.8083 0.8083 0.7075  1 Al 2.64
11 I 0.9189 0.2890 0.7585  1 Al 2.62

As for the formation energy without anion corrections: -0.628 eV/atom.